(1)
Computed, not measured: crystalline TbErZr2As4 at its relaxed geometry at the PBE level of DFT.

Cell and atoms, written as POSCAR:
```
TbErZr2As4
1.0
3.960 0.000 0.000
0.000 6.866 0.115
0.000 -2.406 6.521
Tb Er Zr As
1 1 2 4
direct
0.500 0.500 0.000
0.000 0.000 0.000
0.500 0.000 0.500
0.000 0.500 0.500
0.500 0.252 0.262
0.500 0.748 0.738
0.000 0.244 0.737
0.000 0.756 0.263
```

Properties
E_form (eV per atom): -1.31

=====

(2)
Computed, not measured: crystalline ErTcAs at its relaxed geometry at the PBE level of DFT.

Cell and atoms, written as POSCAR:
```
ErTcAs
1.0
3.640 0.000 0.000
0.000 4.308 0.000
0.000 -2.154 3.731
As Tc Er
1 1 1
direct
0.167 0.667 0.333
0.167 0.000 0.000
0.667 0.333 0.667
```

Properties
E above lowest polymorph (eV per atom): 0.1383
E_form (eV per atom): -0.49

=====

(3)
Computed, not measured: crystalline ErTcAs at its relaxed geometry at the PBE level of DFT.

Cell and atoms, written as POSCAR:
```
ErTcAs
1.0
3.466 0.000 0.000
-1.733 4.047 -3.628
0.000 -6.710 14.244
As Tc Er
2 2 2
direct
0.862 0.724 0.696
0.138 0.276 0.304
0.779 0.558 0.944
0.221 0.442 0.056
0.864 0.728 0.300
0.136 0.272 0.700
```

Properties
E above lowest polymorph (eV per atom): 0.0000
E_form (eV per atom): -0.63

=====

(4)
Computed, not measured: crystalline Er2TcAs at its relaxed geometry at the PBE level of DFT.

Cell and atoms, written as POSCAR:
```
Er2TcAs
1.0
3.648 0.000 0.000
0.000 4.742 0.000
0.000 0.000 4.742
As Tc Er
1 1 2
direct
0.500 0.500 0.500
0.500 0.000 0.000
0.000 0.000 0.500
0.000 0.500 0.000
```

Properties
E_form (eV per atom): -0.50

=====

Question: E_form of number 4 (Er2TcAs)?
Answer: -0.50 eV per atom

=====

Question: Number 4 is which compound?
Answer: Er2TcAs

=====

Question: E_form of number 2 (ErTcAs)?
Answer: -0.49 eV per atom

=====

Question: Which value of E_form does entry 4 give?
Answer: -0.50 eV per atom